Entry 1:
CdPbSeO GGA-PBE optimized geometry; VASP energy = -3.939 eV/atom
1.0
10.1225 0.0000 0.0000
0.0000 19.1243 0.0000
0.0000 0.0000 3.9173
Cd Se O Pb
8 8 8 8
Cartesian
4.3132 16.9758 0.0000
5.8093 2.1485 0.0000
0.7480 7.4136 0.0000
0.8242 17.5833 0.0000
9.2983 1.5411 0.0000
4.2370 8.0211 0.0000
9.3745 11.7107 0.0000
5.8855 11.1032 0.0000
7.9491 9.4469 0.0000
7.3566 13.7812 0.0000
2.1733 9.6774 0.0000
7.2346 19.0091 0.0000
2.8879 0.1152 0.0000
2.2953 14.9053 0.0000
7.8272 4.2190 0.0000
2.7659 5.3431 0.0000
5.2051 16.5089 1.9586
0.0556 1.9410 1.9586
9.9786 6.9467 1.9586
10.0669 17.1834 1.9586
4.9174 2.6154 1.9586
5.0056 11.5031 1.9586
0.1439 12.1776 1.9586
5.1169 7.6212 1.9586
2.5435 11.7068 1.9586
5.2514 14.0386 1.9586
0.1901 14.6479 1.9586
7.5790 7.4176 1.9586
7.6047 16.9797 1.9586
2.5178 2.1446 1.9586
4.8711 5.0857 1.9586
9.9324 4.4764 1.9586


Entry 2:
CdPbSeO GGA-PBE optimized geometry; VASP energy = -4.055 eV/atom
1.0
4.0660 0.0000 0.0000
-2.0330 3.5213 0.0000
0.0000 0.0000 13.0401
Cd Pb Se O
2 2 2 2
Cartesian
0.0000 0.0000 6.4796
0.0000 0.0000 12.9996
2.0330 1.1738 10.0293
0.0000 2.3475 3.5092
2.0330 1.1738 1.1941
0.0000 2.3475 7.7141
0.0000 0.0000 10.8247
0.0000 0.0000 4.3046


Entry 3:
CdPbSeO GGA-PBE optimized geometry; VASP energy = -4.030 eV/atom
1.0
-5.0966 -3.5766 -3.6877
5.6383 -3.8680 -4.0409
0.0221 -4.8393 4.6630
Pb Cd O Se
4 4 4 4
Cartesian
-0.3184 -2.9918 1.0881
0.8904 -11.0610 -2.4493
-1.2380 -6.0645 2.7463
1.8099 -7.9884 -4.1074
-1.0501 -6.1461 -1.1090
3.1440 -5.4869 -0.4447
1.6048 -4.1397 -3.8819
-2.5893 -4.7989 -4.5463
5.0577 -6.5410 -0.7224
-4.4992 -4.5695 -3.4739
2.5532 -5.8711 -4.8581
-1.9948 -5.2394 0.6618
-0.7719 -4.0094 -2.7538
1.3311 -7.2574 -1.2919
-2.8719 -7.9105 -1.9498
3.4311 -3.3563 -2.0959


Entry 4:
CdPbSeO GGA-PBE optimized geometry; VASP energy = -3.849 eV/atom
1.0
7.0570 0.0000 0.0000
0.0000 15.2686 0.0000
0.0000 0.0000 6.5693
O Cd Se Pb
8 8 8 8
Cartesian
5.4337 3.2879 4.2735
1.6233 10.9222 5.5805
5.1519 11.9808 0.9888
1.6233 11.9808 2.2958
1.9052 3.2879 5.5805
5.4337 4.3465 0.9888
5.1519 10.9222 4.2735
1.9052 4.3465 2.2958
3.0006 11.8638 4.0661
4.0564 4.2295 5.7878
0.5279 4.2295 4.0661
6.5291 11.8638 5.7878
0.5279 3.4048 0.7815
4.0564 3.4048 2.5032
6.5291 11.0391 2.5032
3.0006 11.0391 0.7815
6.9317 1.0146 1.8493
3.4032 1.0146 1.4353
3.6538 8.6489 1.8493
3.6538 14.2540 5.1340
6.9317 6.6197 5.1340
3.4032 6.6197 4.7200
0.1253 14.2540 4.7200
0.1253 8.6489 1.4353
1.9701 1.1978 4.1758
1.5584 8.8321 4.1758
5.0869 8.8321 5.6782
5.0869 14.0708 2.3936
1.5584 14.0708 0.8911
1.9701 6.4365 0.8911
5.4986 6.4365 2.3936
5.4986 1.1978 5.6782


Entry 5:
CdPbSeO GGA-PBE optimized geometry; VASP energy = -3.637 eV/atom
1.0
-4.5045 1.0224 -0.5652
0.5164 -0.2769 -4.6165
-2.1516 -9.3041 0.3175
Pb Se Cd O
2 2 2 2
Cartesian
-3.0699 -4.2793 -2.4321
-1.0758 -4.6521 0.1587
-1.2371 -6.6042 -2.0876
-2.9086 -2.3271 -0.1858
-4.3973 -8.7644 0.0339
0.2516 -0.1670 -2.3073
0.0000 0.0000 0.0000
-1.9940 0.3727 -2.5908


Entry 6:
CdPbSeO GGA-PBE optimized geometry; VASP energy = -4.019 eV/atom
1.0
-4.5605 -2.1547 -4.1271
-4.3734 -1.4881 5.6097
-3.1017 7.4242 -0.4487
Cd O Se Pb
4 4 4 4
Cartesian
-5.2973 -1.1635 1.8761
-4.4945 1.4686 -1.5068
-3.5712 3.8994 1.3496
-10.7083 3.3583 0.3489
-8.8011 4.1030 1.2345
-4.2072 -0.4920 3.7029
-4.7362 3.4072 -0.4880
-6.3267 0.5446 -2.3816
-5.6310 3.3741 2.9695
-3.4058 -0.2353 0.2319
-7.4016 4.3078 -2.8703
-7.6328 0.1161 1.7367
-4.8253 5.2435 -1.8461
-7.0620 2.8281 0.4763
-6.6789 -1.5002 -1.4228
-5.5050 0.9914 4.8604